Entry 1:
A plane-wave DFT calculation with PBE+U was carried out for a geometry-optimized Li4CrO5 structure.

Unit cell a=4.938 b=5.569 c=7.631 alpha=94.30 beta=106.47 gamma=115.11
Sites, in units of the cell vectors:
Li 0.000 0.000 0.000
Li 0.074 0.440 0.714
Li 0.237 0.018 0.401
Li 0.316 0.500 0.105
Li 0.500 0.500 0.500
Li 0.684 0.500 0.895
Li 0.763 0.982 0.599
Li 0.926 0.560 0.286
Cr 0.315 0.945 0.758
Cr 0.685 0.055 0.242
O 0.006 0.238 0.442
O 0.177 0.759 0.921
O 0.228 0.206 0.844
O 0.411 0.786 0.330
O 0.462 0.237 0.253
O 0.538 0.763 0.747
O 0.589 0.214 0.670
O 0.772 0.794 0.156
O 0.823 0.241 0.079
O 0.994 0.762 0.558

Excess energy over the best structure of this formula in the dataset = 94 meV/atom

=====

Entry 2:
A plane-wave DFT calculation with PBE+U was carried out for a geometry-optimized Li4CrO5 structure.

Unit cell a=5.247 b=5.247 c=7.874 alpha=96.45 beta=96.45 gamma=67.72
Sites, in units of the cell vectors:
Li 0.064 0.721 0.555
Li 0.138 0.465 0.852
Li 0.279 0.936 0.945
Li 0.465 0.138 0.352
Li 0.535 0.862 0.648
Li 0.721 0.064 0.055
Li 0.862 0.535 0.148
Li 0.936 0.279 0.445
Cr 0.329 0.671 0.250
Cr 0.671 0.329 0.750
O 0.092 0.732 0.072
O 0.146 0.487 0.340
O 0.268 0.908 0.428
O 0.372 0.628 0.750
O 0.487 0.146 0.840
O 0.513 0.854 0.160
O 0.628 0.372 0.250
O 0.732 0.092 0.572
O 0.854 0.513 0.660
O 0.908 0.268 0.928

Excess energy over the best structure of this formula in the dataset = 0 meV/atom

=====

Entry 3:
A plane-wave DFT calculation with PBE+U was carried out for a geometry-optimized Li6Cr2O7 structure.

Unit cell a=5.735 b=5.735 c=9.639 alpha=99.73 beta=99.73 gamma=59.99
Sites, in units of the cell vectors:
Li 0.077 0.331 0.883
Li 0.080 0.786 0.899
Li 0.214 0.920 0.601
Li 0.331 0.077 0.383
Li 0.331 0.527 0.385
Li 0.473 0.669 0.115
Li 0.527 0.331 0.885
Li 0.669 0.473 0.615
Li 0.669 0.923 0.617
Li 0.786 0.080 0.399
Li 0.920 0.214 0.101
Li 0.923 0.669 0.117
Cr 0.192 0.436 0.630
Cr 0.436 0.192 0.130
Cr 0.564 0.808 0.870
Cr 0.808 0.564 0.370
O 0.002 0.273 0.505
O 0.123 0.367 0.252
O 0.264 0.489 0.029
O 0.273 0.002 0.005
O 0.351 0.649 0.750
O 0.367 0.123 0.752
O 0.489 0.264 0.529
O 0.511 0.736 0.471
O 0.633 0.877 0.248
O 0.649 0.351 0.250
O 0.727 0.998 0.995
O 0.736 0.511 0.971
O 0.877 0.633 0.748
O 0.998 0.727 0.495

Excess energy over the best structure of this formula in the dataset = 0 meV/atom

=====

Entry 4:
A plane-wave DFT calculation with PBE+U was carried out for a geometry-optimized Li6Cr2O7 structure.

Unit cell a=7.943 b=5.061 c=9.026 alpha=90.00 beta=116.17 gamma=90.00
Sites, in units of the cell vectors:
Li 0.069 0.190 0.166
Li 0.069 0.810 0.666
Li 0.337 0.199 0.623
Li 0.337 0.801 0.123
Li 0.418 0.194 0.365
Li 0.418 0.806 0.865
Li 0.582 0.194 0.135
Li 0.582 0.806 0.635
Li 0.663 0.199 0.877
Li 0.663 0.801 0.377
Li 0.931 0.190 0.334
Li 0.931 0.810 0.834
Cr 0.218 0.313 0.907
Cr 0.218 0.687 0.407
Cr 0.782 0.313 0.593
Cr 0.782 0.687 0.093
O 0.000 0.152 0.750
O 0.000 0.848 0.250
O 0.186 0.335 0.398
O 0.186 0.665 0.898
O 0.278 0.194 0.110
O 0.278 0.806 0.610
O 0.408 0.220 0.865
O 0.408 0.780 0.365
O 0.592 0.220 0.635
O 0.592 0.780 0.135
O 0.722 0.194 0.390
O 0.722 0.806 0.890
O 0.814 0.335 0.102
O 0.814 0.665 0.602

Excess energy over the best structure of this formula in the dataset = 20 meV/atom

=====

Entry 5:
A plane-wave DFT calculation with PBE+U was carried out for a geometry-optimized Li2CrO structure.

Unit cell a=5.730 b=5.730 c=5.730 alpha=97.14 beta=97.14 gamma=138.71
Sites, in units of the cell vectors:
Li 0.375 0.217 0.342
Li 0.783 0.125 0.158
Li 0.875 0.033 0.658
Li 0.967 0.625 0.842
Cr 0.250 0.750 0.500
Cr 0.500 0.500 0.000
O 0.000 0.000 0.000
O 0.750 0.250 0.500

Total energy = -4.87 eV/atom

=====

Entry 6:
A plane-wave DFT calculation with PBE+U was carried out for a geometry-optimized Li4CrO4 structure.

Unit cell a=5.913 b=5.913 c=5.077 alpha=90.00 beta=90.00 gamma=90.00
Sites, in units of the cell vectors:
Li 0.045 0.250 0.149
Li 0.250 0.045 0.649
Li 0.250 0.455 0.649
Li 0.455 0.250 0.149
Li 0.545 0.750 0.851
Li 0.750 0.545 0.351
Li 0.750 0.955 0.351
Li 0.955 0.750 0.851
Cr 0.250 0.750 0.250
Cr 0.750 0.250 0.750
O 0.010 0.750 0.469
O 0.250 0.510 0.031
O 0.250 0.990 0.031
O 0.490 0.750 0.469
O 0.510 0.250 0.531
O 0.750 0.010 0.969
O 0.750 0.490 0.969
O 0.990 0.250 0.531

Excess energy over the best structure of this formula in the dataset = 90 meV/atom

=====

Entry 7:
A plane-wave DFT calculation with PBE+U was carried out for a geometry-optimized LiCr2O4 structure.

Unit cell a=5.938 b=5.938 c=5.938 alpha=120.78 beta=119.37 gamma=89.87
Sites, in units of the cell vectors:
Li 0.000 0.000 0.000
Li 0.500 0.000 0.500
Cr 0.000 0.500 0.500
Cr 0.500 0.000 0.000
Cr 0.500 0.500 0.000
Cr 0.500 0.500 0.500
O 0.270 0.287 0.517
O 0.270 0.753 0.983
O 0.277 0.741 0.536
O 0.295 0.259 0.036
O 0.705 0.741 0.964
O 0.723 0.259 0.464
O 0.730 0.247 0.017
O 0.730 0.713 0.483

Excess energy over the best structure of this formula in the dataset = 66 meV/atom

=====

Entry 8:
A plane-wave DFT calculation with PBE+U was carried out for a geometry-optimized Li4CrO5 structure.

Unit cell a=5.092 b=5.910 c=6.573 alpha=102.44 beta=102.38 gamma=106.09
Sites, in units of the cell vectors:
Li 0.000 0.000 0.000
Li 0.000 0.500 0.000
Li 0.183 0.402 0.399
Li 0.240 0.888 0.379
Li 0.427 0.797 0.806
Li 0.573 0.203 0.194
Li 0.760 0.112 0.621
Li 0.817 0.598 0.601
Cr 0.416 0.329 0.769
Cr 0.584 0.671 0.231
O 0.076 0.990 0.609
O 0.139 0.453 0.712
O 0.298 0.359 0.092
O 0.376 0.842 0.116
O 0.497 0.724 0.480
O 0.503 0.276 0.520
O 0.624 0.158 0.884
O 0.702 0.641 0.908
O 0.861 0.547 0.288
O 0.924 0.010 0.391

Excess energy over the best structure of this formula in the dataset = 88 meV/atom

=====

Entry 9:
A plane-wave DFT calculation with PBE+U was carried out for a geometry-optimized Li4CrO5 structure.

Unit cell a=5.018 b=8.867 c=8.934 alpha=113.36 beta=96.76 gamma=96.35
Sites, in units of the cell vectors:
Li 0.000 0.000 0.000
Li 0.004 0.396 0.594
Li 0.019 0.799 0.202
Li 0.219 0.551 0.936
Li 0.253 0.952 0.539
Li 0.254 0.356 0.162
Li 0.282 0.151 0.355
Li 0.486 0.895 0.086
Li 0.500 0.500 0.500
Li 0.514 0.105 0.914
Li 0.718 0.849 0.645
Li 0.746 0.644 0.838
Li 0.747 0.048 0.461
Li 0.781 0.449 0.064
Li 0.981 0.201 0.798
Li 0.996 0.604 0.406
Cr 0.215 0.788 0.753
Cr 0.478 0.301 0.739
Cr 0.522 0.699 0.261
Cr 0.785 0.212 0.247
O 0.084 0.362 0.358
O 0.110 0.971 0.777
O 0.133 0.771 0.941
O 0.170 0.594 0.184
O 0.177 0.183 0.587
O 0.343 0.729 0.563
O 0.370 0.322 0.918
O 0.391 0.895 0.319
O 0.399 0.481 0.714
O 0.434 0.142 0.141
O 0.566 0.858 0.859
O 0.601 0.519 0.286
O 0.609 0.105 0.681
O 0.630 0.678 0.082
O 0.657 0.271 0.437
O 0.823 0.817 0.413
O 0.830 0.406 0.816
O 0.867 0.229 0.059
O 0.890 0.029 0.223
O 0.916 0.638 0.642

Excess energy over the best structure of this formula in the dataset = 30 meV/atom

=====

Entry 10:
A plane-wave DFT calculation with PBE+U was carried out for a geometry-optimized LiCr2O5 structure.

Unit cell a=8.166 b=6.090 c=8.120 alpha=90.00 beta=90.00 gamma=90.00
Sites, in units of the cell vectors:
Li 0.152 0.250 0.151
Li 0.348 0.750 0.651
Li 0.652 0.250 0.349
Li 0.848 0.750 0.849
Cr 0.000 0.000 0.500
Cr 0.000 0.500 0.500
Cr 0.165 0.750 0.155
Cr 0.335 0.250 0.655
Cr 0.500 0.000 0.000
Cr 0.500 0.500 0.000
Cr 0.665 0.750 0.345
Cr 0.835 0.250 0.845
O 0.010 0.750 0.030
O 0.056 0.250 0.368
O 0.096 0.750 0.360
O 0.219 0.024 0.620
O 0.219 0.476 0.620
O 0.281 0.524 0.120
O 0.281 0.976 0.120
O 0.404 0.250 0.860
O 0.444 0.750 0.868
O 0.490 0.250 0.530
O 0.510 0.750 0.470
O 0.556 0.250 0.132
O 0.596 0.750 0.140
O 0.719 0.024 0.880
O 0.719 0.476 0.880
O 0.781 0.524 0.380
O 0.781 0.976 0.380
O 0.904 0.250 0.640
O 0.944 0.750 0.632
O 0.990 0.250 0.970

Total energy = -6.78 eV/atom

=====

Entry 11:
A plane-wave DFT calculation with PBE+U was carried out for a geometry-optimized Li4CrO4 structure.

Unit cell a=5.205 b=5.235 c=7.768 alpha=70.70 beta=83.26 gamma=67.88
Sites, in units of the cell vectors:
Li 0.217 0.107 0.208
Li 0.239 0.992 0.562
Li 0.250 0.584 0.417
Li 0.258 0.740 0.995
Li 0.742 0.260 0.005
Li 0.750 0.416 0.583
Li 0.761 0.008 0.438
Li 0.783 0.893 0.792
Cr 0.220 0.338 0.774
Cr 0.780 0.662 0.226
O 0.001 0.129 0.806
O 0.029 0.696 0.626
O 0.339 0.341 0.979
O 0.485 0.199 0.617
O 0.515 0.801 0.383
O 0.661 0.659 0.021
O 0.971 0.304 0.374
O 0.999 0.871 0.194

Excess energy over the best structure of this formula in the dataset = 4 meV/atom

=====

Entry 12:
A plane-wave DFT calculation with PBE+U was carried out for a geometry-optimized LiCrO structure.

Unit cell a=5.400 b=5.400 c=6.851 alpha=126.37 beta=126.37 gamma=30.28
Sites, in units of the cell vectors:
Li 0.001 0.001 0.343
Li 0.999 0.999 0.657
Cr 0.327 0.327 0.850
Cr 0.673 0.673 0.150
O 0.342 0.342 0.301
O 0.658 0.658 0.699

Total energy = -5.79 eV/atom